# 1
{
  "formula": "NiPtAu",
  "functional": "GGA-PBE",
  "state": "optimized geometry",
  "lattice_angstrom": [[-0.3712, -4.0624, 1.5991], [2.3252, 3.0078, 2.1782], [-2.2698, 0.7523, 1.3842]],
  "species": ["Ni", "Pt", "Au"],
  "frac_coords": [[0.3333, 0.6667, 0.4935], [0.6667, 0.3333, 0.5043], [0.0000, 0.0000, 0.0022]],
  "vol_a3_per_atom": 15.3,
  "crystal_system": "trigonal",
  "ef_ev_per_atom": 0.125,
  "de_polymorph_mev_per_atom": 95,
  "dos_at_fermi_per_ev_cell": 4.73,
  "m_tot_mub_per_fu": 0.91
}



# 2
{
  "formula": "NiPt2Au",
  "functional": "GGA-PBE",
  "state": "optimized geometry",
  "lattice_angstrom": [[4.7061, 0.0000, 0.0000], [0.0000, 2.7601, 0.0071], [0.0000, 0.0595, 4.7577]],
  "species": ["Pt", "Au", "Pt", "Ni"],
  "frac_coords": [[0.0000, 0.7644, 0.2574], [0.5000, 0.5000, 0.0000], [0.0000, 0.2356, 0.7426], [0.5000, 0.0000, 0.5000]],
  "vol_a3_per_atom": 15.4,
  "crystal_system": "monoclinic",
  "ef_ev_per_atom": 0.065,
  "de_polymorph_mev_per_atom": 108,
  "dos_at_fermi_per_ev_cell": 4.10,
  "m_tot_mub_per_fu": 1.06
}



# 3
{
  "formula": "NiPt2Au",
  "functional": "GGA-PBE",
  "state": "optimized geometry",
  "lattice_angstrom": [[2.7878, 0.0000, 0.0000], [0.0000, 2.7878, 0.0000], [0.0000, 0.0000, 7.8138]],
  "species": ["Pt", "Au", "Pt", "Ni"],
  "frac_coords": [[0.0000, 0.0000, 0.2207], [0.5000, 0.5000, 0.5000], [0.0000, 0.0000, 0.7793], [0.5000, 0.5000, 0.0000]],
  "vol_a3_per_atom": 15.2,
  "crystal_system": "tetragonal",
  "ef_ev_per_atom": -0.017,
  "de_polymorph_mev_per_atom": 25,
  "dos_at_fermi_per_ev_cell": 3.65,
  "m_tot_mub_per_fu": 1.33
}



# 4
{
  "formula": "NiPt2Au",
  "functional": "GGA-PBE",
  "state": "optimized geometry",
  "lattice_angstrom": [[-0.5889, 2.7311, -0.0211], [-2.1745, 0.9715, 1.4607], [4.4676, 2.4519, 7.6919]],
  "species": ["Au", "Pt", "Ni", "Pt"],
  "frac_coords": [[0.4997, 0.4997, 0.5009], [0.0752, 0.0752, 0.7744], [0.6669, 0.6669, 0.9993], [0.2582, 0.2582, 0.2254]],
  "vol_a3_per_atom": 15.4,
  "crystal_system": "trigonal",
  "ef_ev_per_atom": 0.008,
  "de_polymorph_mev_per_atom": 51,
  "dos_at_fermi_per_ev_cell": 5.62,
  "m_tot_mub_per_fu": 1.30
}



# 5
{
  "formula": "NiPtAu",
  "functional": "GGA-PBE",
  "state": "optimized geometry",
  "lattice_angstrom": [[-3.2309, -2.7911, 2.2955], [-1.7199, -3.8204, -7.0660], [4.3630, -2.0806, 0.0629]],
  "species": ["Pt", "Pt", "Ni", "Ni", "Ni", "Pt", "Au", "Au", "Pt", "Ni", "Au", "Au"],
  "frac_coords": [[0.0000, 0.3315, 0.0000], [0.0000, 0.1737, 0.5000], [0.5000, 0.8257, 0.0000], [0.0000, 0.4924, 0.5000], [0.5000, 0.3257, 0.5000], [0.0000, 0.8315, 0.5000], [0.5000, 0.6534, 0.5000], [0.5000, 0.9936, 0.5000], [0.0000, 0.6738, 0.0000], [0.0000, 0.9924, 0.0000], [0.5000, 0.4936, 0.0000], [0.5000, 0.1534, 0.0000]],
  "vol_a3_per_atom": 15.0,
  "crystal_system": "monoclinic",
  "ef_ev_per_atom": 0.063,
  "de_polymorph_mev_per_atom": 32,
  "dos_at_fermi_per_ev_cell": 16.38,
  "m_tot_mub_per_fu": 0.77
}



# 6
{
  "formula": "NiPtAu",
  "functional": "GGA-PBE",
  "state": "optimized geometry",
  "lattice_angstrom": [[-1.3212, -2.5916, -2.5480], [3.0865, 0.7291, -2.3419], [6.1638, -8.5209, 5.4708]],
  "species": ["Ni", "Au", "Ni", "Au", "Au", "Pt", "Au", "Ni", "Ni", "Pt", "Pt", "Pt"],
  "frac_coords": [[0.5000, 0.5000, 0.2270], [0.0000, 0.0000, 0.2294], [0.5000, 0.0000, 0.7270], [0.0000, 0.5000, 0.7294], [0.5000, 0.5000, 0.9018], [0.0000, 0.5000, 0.0716], [0.5000, 0.0000, 0.4018], [0.5000, 0.0000, 0.0683], [0.5000, 0.5000, 0.5683], [0.0000, 0.0000, 0.5716], [0.0000, 0.0000, 0.9030], [0.0000, 0.5000, 0.4030]],
  "vol_a3_per_atom": 15.1,
  "crystal_system": "orthorhombic",
  "ef_ev_per_atom": 0.069,
  "de_polymorph_mev_per_atom": 38,
  "dos_at_fermi_per_ev_cell": 20.12,
  "m_tot_mub_per_fu": 1.02
}



# 7
{
  "formula": "Ni2PtAu",
  "functional": "GGA-PBE",
  "state": "optimized geometry",
  "lattice_angstrom": [[8.8574, -0.0099, -0.0058], [8.4353, 2.7016, -0.0058], [8.4353, 1.3130, 2.3611]],
  "species": ["Ni", "Pt", "Ni", "Au"],
  "frac_coords": [[0.2550, 0.2550, 0.2550], [0.5079, 0.5079, 0.5079], [0.9925, 0.9925, 0.9925], [0.7446, 0.7446, 0.7446]],
  "vol_a3_per_atom": 14.2,
  "crystal_system": "trigonal",
  "ef_ev_per_atom": 0.070,
  "de_polymorph_mev_per_atom": 75,
  "dos_at_fermi_per_ev_cell": 5.17,
  "m_tot_mub_per_fu": 1.43
}



# 8
{
  "formula": "NiPtAu",
  "functional": "GGA-PBE",
  "state": "optimized geometry",
  "lattice_angstrom": [[6.0500, 0.0130, -0.0138], [5.3954, 2.7387, -0.0201], [0.6547, 0.1662, 2.7206]],
  "species": ["Au", "Pt", "Ni"],
  "frac_coords": [[0.9912, 0.9912, 0.0088], [0.6806, 0.6806, 0.3194], [0.3282, 0.3282, 0.6718]],
  "vol_a3_per_atom": 15.0,
  "crystal_system": "tetragonal",
  "ef_ev_per_atom": 0.031,
  "de_polymorph_mev_per_atom": 0,
  "dos_at_fermi_per_ev_cell": 5.02,
  "m_tot_mub_per_fu": 0.70
}



# 9
{
  "formula": "Ni2PtAu",
  "functional": "GGA-PBE",
  "state": "optimized geometry",
  "lattice_angstrom": [[2.7699, 0.0000, 0.0000], [1.3849, 2.3988, 0.0000], [1.3849, 0.7996, 8.5660]],
  "species": ["Pt", "Ni", "Au", "Ni"],
  "frac_coords": [[0.4998, 0.4998, 0.5007], [0.2474, 0.2474, 0.2578], [0.6670, 0.6670, 0.9991], [0.0859, 0.0859, 0.7424]],
  "vol_a3_per_atom": 14.2,
  "crystal_system": "trigonal",
  "ef_ev_per_atom": 0.090,
  "de_polymorph_mev_per_atom": 95,
  "dos_at_fermi_per_ev_cell": 6.27,
  "m_tot_mub_per_fu": 1.62
}



# 10
{
  "formula": "Ni2PtAu",
  "functional": "GGA-PBE",
  "state": "optimized geometry",
  "lattice_angstrom": [[-1.3875, 4.4548, 1.1432], [-3.2795, 2.7283, 2.2088], [1.6900, 0.7105, 4.1519]],
  "species": ["Au", "Ni", "Ni", "Pt"],
  "frac_coords": [[0.7406, 0.7406, 0.7825], [0.9856, 0.9856, 0.9893], [0.2618, 0.2618, 0.2669], [0.5120, 0.5120, 0.4612]],
  "vol_a3_per_atom": 14.0,
  "crystal_system": "monoclinic",
  "ef_ev_per_atom": 0.040,
  "de_polymorph_mev_per_atom": 46,
  "dos_at_fermi_per_ev_cell": 5.70,
  "m_tot_mub_per_fu": 1.39
}



# 11
{
  "formula": "NiPt2Au",
  "functional": "GGA-PBE",
  "state": "optimized geometry",
  "lattice_angstrom": [[9.1494, 0.0036, 0.0021], [8.7216, 2.7650, 0.0021], [8.7216, 1.3512, 2.4124]],
  "species": ["Pt", "Ni", "Pt", "Au"],
  "frac_coords": [[0.2518, 0.2518, 0.2518], [0.7476, 0.7476, 0.7476], [0.0059, 0.0059, 0.0059], [0.4947, 0.4947, 0.4947]],
  "vol_a3_per_atom": 15.2,
  "crystal_system": "trigonal",
  "ef_ev_per_atom": 0.007,
  "de_polymorph_mev_per_atom": 50,
  "dos_at_fermi_per_ev_cell": 4.53,
  "m_tot_mub_per_fu": 1.11
}



# 12
{
  "formula": "NiPt6Au",
  "functional": "GGA-PBE",
  "state": "optimized geometry",
  "lattice_angstrom": [[3.9550, 0.0000, 0.0000], [0.0000, 3.9550, 0.0000], [0.0000, 0.0000, 7.9119]],
  "species": ["Ni", "Pt", "Pt", "Pt", "Pt", "Pt", "Au", "Pt"],
  "frac_coords": [[0.0000, 0.0000, 0.5000], [0.5000, 0.0000, 0.7374], [0.5000, 0.0000, 0.2626], [0.5000, 0.5000, 0.0000], [0.0000, 0.5000, 0.7374], [0.0000, 0.5000, 0.2626], [0.0000, 0.0000, 0.0000], [0.5000, 0.5000, 0.5000]],
  "vol_a3_per_atom": 15.5,
  "crystal_system": "tetragonal",
  "ef_ev_per_atom": 0.000,
  "dos_at_fermi_per_ev_cell": 13.17,
  "m_tot_mub_per_fu": 0.99
}